Entry from Alexandria via LeMat-Bulk: an optimized crystal structure of Zr3InGa (PBE-GGA).

a b c (Å): 10.302 6.387 13.508
angles (deg): 90.00 97.65 90.00
Space group C2/c (No. 15)
Unique sites:
Zr 0.048 0.118 0.115
Zr 0.185 0.135 0.795
Zr 0.203 0.367 0.403
In 0.049 0.360 0.589
Ga 0.000 0.438 0.250
Ga 0.250 0.250 0.000

ΔE to the lowest computed polymorph, eV per formula unit: 0.000
M_tot, μB/f.u.: 0.00
Density of states at the Fermi level, states/eV per cell: 28.56
V, Å³ per atom: 22.0